Below is an optimized crystal structure of LaSbOs, with properties calculated at the GGA-PBE level.

Summary:
electronic total energy	-20.752	eV for the cell shown
density	9.7	g cm⁻³
volume	25.62	Å³ per atom

abc: 4.772 4.772 4.772
angles: 60.00 60.00 60.00
Positions (direct):
La  0.250  0.250  0.250
Sb  0.750  0.750  0.750
Os  0.000  0.000  0.000

***

Below is an optimized crystal structure of ZrSc2Ta, with properties calculated at the GGA-PBE level.

Summary:
ΔE_f	0.76	eV per formula unit
electronic total energy	-32.296	eV for the cell shown
density	7.1	g cm⁻³
volume	21.31	Å³ per atom

abc: 4.940 4.940 4.940
angles: 60.00 60.00 60.00
Positions (direct):
Zr  0.250  0.250  0.250
Sc  0.000  0.000  0.000
Sc  0.750  0.750  0.750
Ta  0.500  0.500  0.500

***

Below is an optimized crystal structure of LuPuB, with properties calculated at the GGA-PBE level.

Summary:
electronic total energy	-24.991	eV for the cell shown
density	11.9	g cm⁻³
volume	20.03	Å³ per atom
polymorph energy (0 for the lowest one)	0.0	meV/atom

abc: 4.396 4.396 4.396
angles: 60.00 60.00 60.00
Positions (direct):
Lu  0.250  0.250  0.250
Pu  0.750  0.750  0.750
B  0.000  0.000  0.000

***

Below is an optimized crystal structure of NbHg2As, with properties calculated at the GGA-PBE level.

Summary:
electronic total energy	-13.534	eV for the cell shown
density	11.8	g cm⁻³
volume	19.95	Å³ per atom

abc: 4.832 4.832 4.832
angles: 60.00 60.00 60.00
Positions (direct):
As  0.500  0.500  0.500
Hg  0.750  0.750  0.750
Hg  0.000  0.000  0.000
Nb  0.250  0.250  0.250

***

Below is an optimized crystal structure of Hf2ZrNi2As4Pd2, with properties calculated at the GGA-PBE level.

Summary:
electronic total energy	-77.153	eV for the cell shown
density	9.4	g cm⁻³
volume	17.41	Å³ per atom
polymorph energy (0 for the lowest one)	18.5	meV/atom

abc: 6.549 3.854 7.587
angles: 90.00 90.89 90.00
Positions (direct):
Hf  0.466  0.500  0.314
Hf  0.533  0.000  0.688
As  0.756  0.000  0.366
As  0.242  0.500  0.616
As  0.765  0.500  0.890
As  0.251  0.000  0.129
Ni  0.633  0.000  0.059
Ni  0.160  0.000  0.443
Zr  0.971  0.500  0.188
Pd  0.369  0.500  0.935
Pd  0.852  0.500  0.571

***

Below is an optimized crystal structure of YMgCuS3, with properties calculated at the GGA-PBE level.

Summary:
electronic total energy	-63.695	eV for the cell shown
density	3.9	g cm⁻³
volume	19.25	Å³ per atom

abc: 6.328 6.328 10.323
angles: 90.00 90.00 33.97
Positions (direct):
S  0.353  0.353  0.416
S  0.647  0.647  0.584
S  0.101  0.101  0.250
S  0.899  0.899  0.750
S  0.353  0.353  0.084
S  0.647  0.647  0.916
Mg  0.236  0.236  0.750
Mg  0.764  0.764  0.250
Y  0.000  0.000  0.500
Y  0.000  0.000  0.000
Cu  0.520  0.520  0.750
Cu  0.480  0.480  0.250

***

Below is an optimized crystal structure of AgPPb, with properties calculated at the GGA-PBE level.

Summary:
electronic total energy	-46.570	eV for the cell shown
density	8.3	g cm⁻³
volume	23.18	Å³ per atom
polymorph energy (0 for the lowest one)	0.1	meV/atom

abc: 7.579 4.364 8.410
angles: 90.00 90.00 90.00
Positions (direct):
P  0.588  0.500  0.740
P  0.088  0.000  0.760
P  0.412  0.000  0.260
P  0.912  0.500  0.240
Pb  0.774  0.000  0.996
Pb  0.726  0.000  0.496
Pb  0.226  0.500  0.004
Pb  0.274  0.500  0.504
Ag  0.921  0.500  0.731
Ag  0.079  0.000  0.269
Ag  0.421  0.000  0.769
Ag  0.579  0.500  0.231

***

Below is an optimized crystal structure of TbGdAs2Pt2, with properties calculated at the GGA-PBE level.

Summary:
electronic total energy	-76.319	eV for the cell shown
density	11.5	g cm⁻³
volume	20.52	Å³ per atom
polymorph energy (0 for the lowest one)	0.0	meV/atom

abc: 4.308 4.308 15.324
angles: 90.00 90.00 120.00
Positions (direct):
Gd  0.000  0.000  0.500
Gd  0.000  0.000  0.000
Tb  0.000  0.000  0.250
Tb  0.000  0.000  0.750
As  0.333  0.667  0.116
As  0.667  0.333  0.616
As  0.333  0.667  0.384
As  0.667  0.333  0.884
Pt  0.333  0.667  0.864
Pt  0.333  0.667  0.636
Pt  0.667  0.333  0.136
Pt  0.667  0.333  0.364

***

Below is an optimized crystal structure of Gd2Ag2TeS3, with properties calculated at the GGA-PBE level.

Summary:
electronic total energy	-40.177	eV for the cell shown
density	6.4	g cm⁻³
volume	24.30	Å³ per atom

abc: 6.758 6.758 4.272
angles: 91.65 91.65 85.77
Positions (direct):
Ag  0.497  0.001  0.035
Ag  0.001  0.497  0.035
S  0.200  0.803  0.260
S  0.702  0.702  0.743
S  0.803  0.200  0.260
Te  0.293  0.293  0.683
Gd  0.983  0.983  0.773
Gd  0.521  0.521  0.211

***

Below is an optimized crystal structure of RbHfHg2Br6, with properties calculated at the GGA-PBE level.

Summary:
electronic total energy	-31.230	eV for the cell shown
density	4.8	g cm⁻³
volume	39.33	Å³ per atom

abc: 8.224 8.224 8.224
angles: 60.00 60.00 60.00
Positions (direct):
Hf  0.000  0.000  0.000
Hg  0.750  0.750  0.750
Hg  0.250  0.250  0.250
Br  0.223  0.777  0.223
Br  0.223  0.223  0.777
Br  0.777  0.223  0.777
Br  0.777  0.777  0.223
Br  0.777  0.223  0.223
Br  0.223  0.777  0.777
Rb  0.500  0.500  0.500

***

Below is an optimized crystal structure of Pt4O11, with properties calculated at the GGA-PBE level.

Summary:
electronic total energy	-78.103	eV for the cell shown
density	8.0	g cm⁻³
volume	13.29	Å³ per atom
polymorph energy (0 for the lowest one)	17.2	meV/atom

abc: 10.150 5.155 4.684
angles: 102.76 101.39 117.34
Positions (direct):
O  0.480  0.636  0.269
O  0.799  0.943  0.230
O  0.514  0.428  0.767
O  0.611  0.246  0.271
O  0.289  0.006  0.268
O  0.202  0.076  0.781
O  0.891  0.740  0.698
O  0.028  0.369  0.734
O  0.701  0.022  0.745
O  0.995  0.541  0.225
O  0.390  0.817  0.774
Pt  0.586  0.859  0.015
Pt  0.418  0.210  0.028
Pt  0.913  0.112  0.964
Pt  0.079  0.789  0.973

***

Below is an optimized crystal structure of BaSiGe2Pd, with properties calculated at the GGA-PBE level.

Summary:
electronic total energy	-24.434	eV for the cell shown
density	6.4	g cm⁻³
volume	21.59	Å³ per atom

abc: 6.096 6.096 6.096
angles: 135.97 135.97 64.03
Positions (direct):
Pd  0.243  0.243  0.000
Si  0.999  0.999  0.000
Ge  0.860  0.360  0.500
Ge  0.360  0.860  0.500
Ba  0.606  0.606  0.000

***

Below is an optimized crystal structure of SrNi5Sb3, with properties calculated at the GGA-PBE level.

Summary:
electronic total energy	-90.504	eV for the cell shown
density	7.6	g cm⁻³
volume	18.05	Å³ per atom

abc: 6.755 6.755 12.533
angles: 90.00 90.00 145.38
Positions (direct):
Ni  0.315  0.685  0.431
Ni  0.043  0.957  0.855
Ni  0.685  0.315  0.931
Ni  0.500  0.500  0.000
Ni  0.043  0.957  0.645
Ni  0.957  0.043  0.145
Ni  0.685  0.315  0.569
Ni  0.957  0.043  0.355
Ni  0.315  0.685  0.069
Ni  0.500  0.500  0.500
Sb  0.125  0.875  0.459
Sb  0.396  0.604  0.250
Sb  0.604  0.396  0.750
Sb  0.875  0.125  0.959
Sb  0.125  0.875  0.041
Sb  0.875  0.125  0.541
Sr  0.327  0.673  0.750
Sr  0.673  0.327  0.250

***

Below is an optimized crystal structure of SmLuPu, with properties calculated at the GGA-PBE level.

Summary:
ΔE_f	2.38	eV per formula unit
electronic total energy	-20.978	eV for the cell shown
density	9.0	g cm⁻³
volume	35.09	Å³ per atom
polymorph energy (0 for the lowest one)	0.0	meV/atom

abc: 5.300 5.300 5.300
angles: 60.00 60.00 60.00
Positions (direct):
Lu  0.000  0.000  0.000
Sm  0.500  0.500  0.500
Pu  0.250  0.250  0.250

***

Below is an optimized crystal structure of CsEr2Cu3S5, with properties calculated at the GGA-PBE level.

Summary:
electronic total energy	-110.914	eV for the cell shown
density	5.9	g cm⁻³
volume	20.96	Å³ per atom

abc: 7.279 7.279 16.672
angles: 90.00 90.00 148.53
Positions (direct):
Cu  0.417  0.583  0.537
Cu  0.583  0.417  0.037
Cu  0.583  0.417  0.463
Cu  0.655  0.345  0.750
Cu  0.417  0.583  0.963
Cu  0.345  0.655  0.250
S  0.170  0.830  0.068
S  0.563  0.437  0.609
S  0.830  0.170  0.932
S  0.170  0.830  0.432
S  0.437  0.563  0.109
S  0.563  0.437  0.891
S  0.830  0.170  0.568
S  0.437  0.563  0.391
S  0.233  0.767  0.750
S  0.767  0.233  0.250
Cs  0.936  0.064  0.750
Cs  0.064  0.936  0.250
Er  0.193  0.807  0.908
Er  0.807  0.193  0.092
Er  0.193  0.807  0.592
Er  0.807  0.193  0.408

***

Below is an optimized crystal structure of HfSi2N, with properties calculated at the GGA-PBE level.

Summary:
electronic total energy	-57.587	eV for the cell shown
density	8.0	g cm⁻³
volume	12.90	Å³ per atom

abc: 2.882 2.882 14.357
angles: 90.00 90.00 120.00
Positions (direct):
Si  0.667  0.333  0.592
Si  0.333  0.667  0.092
Si  0.333  0.667  0.408
Si  0.667  0.333  0.908
N  0.000  0.000  0.500
N  0.000  0.000  0.000
Hf  0.333  0.667  0.750
Hf  0.667  0.333  0.250

***

Below is an optimized crystal structure of KBeSbPd, with properties calculated at the GGA-PBE level.

Summary:
electronic total energy	-12.266	eV for the cell shown
density	5.6	g cm⁻³
volume	20.67	Å³ per atom
polymorph energy (0 for the lowest one)	140.9	meV/atom

abc: 4.890 4.890 4.890
angles: 60.00 60.00 60.00
Positions (direct):
Sb  0.000  0.000  0.000
Be  0.750  0.750  0.750
K  0.250  0.250  0.250
Pd  0.500  0.500  0.500

***

Below is an optimized crystal structure of RbSb5Pt3, with properties calculated at the GGA-PBE level.

Summary:
electronic total energy	-41.784	eV for the cell shown
density	8.4	g cm⁻³
volume	28.04	Å³ per atom

abc: 5.776 5.776 8.737
angles: 90.00 90.00 120.00
Positions (direct):
Rb  0.000  0.000  0.000
Sb  0.333  0.667  0.244
Sb  0.667  0.333  0.756
Sb  0.333  0.667  0.756
Sb  0.000  0.000  0.500
Sb  0.667  0.333  0.244
Pt  0.500  0.000  0.500
Pt  0.500  0.500  0.500
Pt  0.000  0.500  0.500

***

Below is an optimized crystal structure of PuZrB, with properties calculated at the GGA-PBE level.

Summary:
electronic total energy	-29.037	eV for the cell shown
density	10.3	g cm⁻³
volume	18.67	Å³ per atom
polymorph energy (0 for the lowest one)	0.0	meV/atom

abc: 4.295 4.295 4.295
angles: 60.00 60.00 60.00
Positions (direct):
B  0.000  0.000  0.000
Zr  0.750  0.750  0.750
Pu  0.250  0.250  0.250

***

Below is an optimized crystal structure of YFeCuW, with properties calculated at the GGA-PBE level.

Summary:
ΔE_f	2.12	eV per formula unit
electronic total energy	-29.331	eV for the cell shown
density	10.4	g cm⁻³
volume	15.71	Å³ per atom
polymorph energy (0 for the lowest one)	140.3	meV/atom

abc: 4.462 4.462 4.462
angles: 60.00 60.00 60.00
Positions (direct):
Y  0.000  0.000  0.000
Cu  0.750  0.750  0.750
W  0.250  0.250  0.250
Fe  0.500  0.500  0.500

***

Below is an optimized crystal structure of RbBeAsPd, with properties calculated at the GGA-PBE level.

Summary:
electronic total energy	-12.031	eV for the cell shown
density	5.9	g cm⁻³
volume	19.57	Å³ per atom
polymorph energy (0 for the lowest one)	0.0	meV/atom

abc: 4.802 4.802 4.802
angles: 60.00 60.00 60.00
Positions (direct):
As  0.250  0.250  0.250
Rb  0.500  0.500  0.500
Pd  0.000  0.000  0.000
Be  0.750  0.750  0.750

***

Below is an optimized crystal structure of SmAgTePbS2, with properties calculated at the GGA-PBE level.

Summary:
electronic total energy	-56.136	eV for the cell shown
density	6.6	g cm⁻³
volume	27.70	Å³ per atom

abc: 7.397 7.397 11.327
angles: 90.00 90.00 147.57
Positions (direct):
S  0.124  0.876  0.429
S  0.124  0.876  0.071
S  0.876  0.124  0.571
S  0.876  0.124  0.929
Te  0.616  0.384  0.750
Te  0.384  0.616  0.250
Sm  0.500  0.500  0.000
Sm  0.500  0.500  0.500
Ag  0.983  0.017  0.750
Ag  0.017  0.983  0.250
Pb  0.293  0.707  0.750
Pb  0.707  0.293  0.250

***

Below is an optimized crystal structure of Cu2Ag3, with properties calculated at the GGA-PBE level.

Summary:
ΔE_f	0.41	eV per formula unit
electronic total energy	-30.984	eV for the cell shown
density	9.6	g cm⁻³
volume	15.52	Å³ per atom
polymorph energy (0 for the lowest one)	50.7	meV/atom

abc: 7.514 7.514 5.697
angles: 101.08 101.08 29.50
Positions (direct):
Ag  0.693  0.693  0.340
Ag  0.305  0.305  0.147
Ag  0.906  0.906  0.452
Ag  0.094  0.094  0.548
Ag  0.695  0.695  0.853
Ag  0.307  0.307  0.660
Cu  0.089  0.089  0.044
Cu  0.911  0.911  0.956
Cu  0.500  0.500  0.774
Cu  0.500  0.500  0.226

***

Below is an optimized crystal structure of PaAgO3, with properties calculated at the GGA-PBE level.

Summary:
electronic total energy	-75.039	eV for the cell shown
density	8.6	g cm⁻³
volume	14.96	Å³ per atom

abc: 6.043 6.043 6.043
angles: 58.20 58.20 58.20
Positions (direct):
Ag  0.750  0.750  0.750
Ag  0.250  0.250  0.250
O  0.250  0.640  0.860
O  0.640  0.860  0.250
O  0.860  0.250  0.640
O  0.140  0.750  0.360
O  0.750  0.360  0.140
O  0.360  0.140  0.750
Pa  0.500  0.500  0.500
Pa  0.000  0.000  0.000